*w*
# Ta8W7

An optimized crystal structure of Ta8W7 (PBE, OQMD via LeMat-Bulk).

Cell lengths 9.994, 9.994, 5.274 Å; angles 90.00, 90.00, 90.00 degrees
Fractional coordinates of all 30 atoms:
Ta 0.632 0.034 0.500
Ta 0.684 0.316 0.751
Ta 0.816 0.816 0.749
Ta 0.684 0.316 0.249
Ta 0.966 0.368 0.500
Ta 0.466 0.132 0.000
Ta 0.816 0.816 0.251
Ta 0.184 0.184 0.749
Ta 0.534 0.868 0.000
Ta 0.868 0.534 0.000
Ta 0.316 0.684 0.751
Ta 0.316 0.684 0.249
Ta 0.368 0.966 0.500
Ta 0.034 0.632 0.500
Ta 0.132 0.466 0.000
Ta 0.184 0.184 0.251
W 0.065 0.744 0.000
W 0.601 0.601 0.000
W 0.000 0.000 0.000
W 0.935 0.256 0.000
W 0.744 0.065 0.000
W 0.256 0.935 0.000
W 0.500 0.500 0.500
W 0.244 0.435 0.500
W 0.899 0.101 0.500
W 0.101 0.899 0.500
W 0.399 0.399 0.000
W 0.565 0.756 0.500
W 0.435 0.244 0.500
W 0.756 0.565 0.500

Output
space group = P4_2/mnm
volume = 526.7 Å³/cell
magnetic moment = 0.0 μB/cell

***

*x*
# Ta8W7

An optimized crystal structure of Ta8W7 (PBE, OQMD via LeMat-Bulk).

Cell lengths 10.020, 10.020, 5.243 Å; angles 90.00, 90.00, 90.00 degrees
Fractional coordinates of all 30 atoms:
W 0.815 0.815 0.252
W 0.185 0.185 0.252
W 0.500 0.500 0.500
W 0.401 0.401 0.000
W 0.685 0.315 0.248
W 0.000 0.000 0.000
W 0.099 0.901 0.500
W 0.599 0.599 0.000
W 0.315 0.685 0.752
W 0.685 0.315 0.752
W 0.315 0.685 0.248
W 0.901 0.099 0.500
W 0.185 0.185 0.748
W 0.815 0.815 0.748
Ta 0.367 0.965 0.500
Ta 0.035 0.633 0.500
Ta 0.535 0.867 0.000
Ta 0.867 0.535 0.000
Ta 0.563 0.757 0.500
Ta 0.243 0.437 0.500
Ta 0.965 0.367 0.500
Ta 0.257 0.937 0.000
Ta 0.633 0.035 0.500
Ta 0.937 0.257 0.000
Ta 0.743 0.063 0.000
Ta 0.437 0.243 0.500
Ta 0.757 0.563 0.500
Ta 0.133 0.465 0.000
Ta 0.063 0.743 0.000
Ta 0.465 0.133 0.000

Output
space group = P4_2/mnm
volume = 526.4 Å³/cell
magnetic moment = 0.0 μB/cell

***

Here is how they stack up, most stable first: *w*, *x*.

***

*w*
# YTa

An optimized crystal structure of YTa (PBE, OQMD via LeMat-Bulk).

Cell lengths 3.185, 3.185, 5.290 Å; angles 90.00, 90.00, 120.00 degrees
Fractional coordinates of all 2 atoms:
Y 0.333 0.667 0.250
Ta 0.667 0.333 0.750

Output
space group = P-6m2
volume = 46.5 Å³/cell
magnetic moment = 0.0 μB/cell

***

*x*
# YTa

An optimized crystal structure of YTa (PBE, OQMD via LeMat-Bulk).

Cell lengths 4.728, 4.728, 4.728 Å; angles 60.00, 60.00, 60.00 degrees
Each line ends with the local moment (μB).
Fractional coordinates of all 2 atoms:
Y 0.250 0.250 0.250  0.50
Ta 0.000 0.000 0.000  1.60

Output
space group = F-43m
volume = 74.7 Å³/cell
magnetic moment = 2.9 μB/cell

***

Here is how they stack up, most stable first: *w*, *x*.

***

*w*
# Y2Ta

An optimized crystal structure of Y2Ta (PBE, OQMD via LeMat-Bulk).

Cell lengths 8.373, 8.373, 8.373 Å; angles 60.00, 60.00, 60.00 degrees
Fractional coordinates of all 6 atoms:
Y 0.375 0.375 0.875
Y 0.375 0.875 0.375
Y 0.375 0.375 0.375
Y 0.875 0.375 0.375
Ta 0.500 0.500 0.500
Ta 0.250 0.250 0.250

Output
space group = Fd-3m
volume = 415.0 Å³/cell
magnetic moment = 0.0 μB/cell

***

*x*
# Y2Ta

An optimized crystal structure of Y2Ta (PBE, OQMD via LeMat-Bulk).

Cell lengths 6.007, 6.007, 6.007 Å; angles 60.00, 60.00, 60.00 degrees
Fractional coordinates of all 6 atoms:
Y 0.625 0.125 0.625
Y 0.125 0.625 0.625
Y 0.625 0.625 0.125
Y 0.625 0.625 0.625
Ta 0.000 0.000 0.000
Ta 0.250 0.250 0.250

Output
space group = Fd-3m
volume = 153.3 Å³/cell
magnetic moment = 0.1 μB/cell

***

Here is how they stack up, most stable first: *x*, *w*.

***

*w*
# ZrTa2

An optimized crystal structure of ZrTa2 (PBE, OQMD via LeMat-Bulk).

Cell lengths 5.563, 5.563, 5.563 Å; angles 60.00, 60.00, 60.00 degrees
Fractional coordinates of all 6 atoms:
Zr 0.000 0.000 0.000
Zr 0.250 0.250 0.250
Ta 0.625 0.625 0.125
Ta 0.625 0.625 0.625
Ta 0.125 0.625 0.625
Ta 0.625 0.125 0.625

Output
space group = Fd-3m
volume = 121.7 Å³/cell
magnetic moment = 0.1 μB/cell

***

*x*
# ZrTa2

An optimized crystal structure of ZrTa2 (PBE, OQMD via LeMat-Bulk).

Cell lengths 4.772, 4.772, 2.984 Å; angles 90.00, 90.00, 120.00 degrees
Fractional coordinates of all 3 atoms:
Zr 0.000 0.000 0.000
Ta 0.333 0.667 0.371
Ta 0.667 0.333 0.629

Output
space group = P-3m1
volume = 58.8 Å³/cell
magnetic moment = 0.0 μB/cell

***

*y*
# ZrTa2

An optimized crystal structure of ZrTa2 (PBE, OQMD via LeMat-Bulk).

Cell lengths 5.578, 5.578, 8.999 Å; angles 90.00, 90.00, 120.00 degrees
Fractional coordinates of all 12 atoms:
Ta 0.000 0.000 0.000
Ta 0.341 0.171 0.250
Ta 0.829 0.171 0.250
Ta 0.171 0.829 0.750
Ta 0.171 0.341 0.750
Ta 0.659 0.829 0.750
Ta 0.000 0.000 0.500
Ta 0.829 0.659 0.250
Zr 0.333 0.667 0.437
Zr 0.333 0.667 0.063
Zr 0.667 0.333 0.937
Zr 0.667 0.333 0.563

Output
space group = P6_3/mmc
volume = 242.4 Å³/cell
magnetic moment = 0.1 μB/cell

***

Here is how they stack up, most stable first: *y*, *w*, *x*.

***

*w*
# ZrTa2

An optimized crystal structure of ZrTa2 (PBE, OQMD via LeMat-Bulk).

Cell lengths 6.587, 3.433, 10.448 Å; angles 90.00, 90.00, 90.00 degrees
Fractional coordinates of all 12 atoms:
Ta 0.876 0.250 0.430
Ta 0.875 0.250 0.070
Ta 0.625 0.750 0.570
Ta 0.624 0.750 0.930
Ta 0.375 0.250 0.430
Ta 0.124 0.750 0.570
Ta 0.125 0.750 0.930
Ta 0.376 0.250 0.070
Zr 0.873 0.250 0.750
Zr 0.373 0.250 0.750
Zr 0.627 0.750 0.250
Zr 0.127 0.750 0.250

Output
space group = Pmmn
volume = 236.3 Å³/cell
magnetic moment = 0.0 μB/cell

***

*x*
# ZrTa2

An optimized crystal structure of ZrTa2 (PBE, OQMD via LeMat-Bulk).

Cell lengths 5.595, 5.595, 17.919 Å; angles 90.00, 90.00, 120.00 degrees
Fractional coordinates of all 24 atoms:
Zr 0.000 0.000 0.094
Zr 0.000 0.000 0.906
Zr 0.333 0.667 0.656
Zr 0.000 0.000 0.594
Zr 0.000 0.000 0.406
Zr 0.667 0.333 0.344
Zr 0.333 0.667 0.844
Zr 0.667 0.333 0.156
Ta 0.667 0.333 0.626
Ta 0.162 0.838 0.250
Ta 0.333 0.667 0.374
Ta 0.500 0.000 0.500
Ta 0.500 0.500 0.000
Ta 0.667 0.333 0.874
Ta 0.333 0.667 0.126
Ta 0.500 0.500 0.500
Ta 0.676 0.838 0.250
Ta 0.162 0.324 0.250
Ta 0.500 0.000 0.000
Ta 0.000 0.500 0.000
Ta 0.000 0.500 0.500
Ta 0.838 0.162 0.750
Ta 0.324 0.162 0.750
Ta 0.838 0.676 0.750

Output
space group = P6_3/mmc
volume = 485.8 Å³/cell
magnetic moment = 0.0 μB/cell

***

*y*
# ZrTa2

An optimized crystal structure of ZrTa2 (PBE, OQMD via LeMat-Bulk).

Cell lengths 8.189, 8.189, 8.189 Å; angles 60.00, 60.00, 60.00 degrees
Fractional coordinates of all 6 atoms:
Ta 0.875 0.375 0.375
Ta 0.375 0.375 0.375
Ta 0.375 0.875 0.375
Ta 0.375 0.375 0.875
Zr 0.500 0.500 0.500
Zr 0.250 0.250 0.250

Output
space group = Fd-3m
volume = 388.4 Å³/cell
magnetic moment = 0.0 μB/cell

***

Here is how they stack up, most stable first: *x*, *w*, *y*.

***

*w*
# Tb2Tc

An optimized crystal structure of Tb2Tc (PBE, OQMD via LeMat-Bulk).

Cell lengths 4.792, 4.792, 4.792 Å; angles 60.00, 60.00, 60.00 degrees
Fractional coordinates of all 3 atoms:
Tb 0.750 0.750 0.750
Tb 0.250 0.250 0.250
Tc 0.000 0.000 0.000

Output
space group = Fm-3m
volume = 77.8 Å³/cell
magnetic moment = 0.0 μB/cell

***

*x*
# Tb2Tc

An optimized crystal structure of Tb2Tc (PBE, OQMD via LeMat-Bulk).

Cell lengths 8.155, 8.155, 8.155 Å; angles 60.00, 60.00, 60.00 degrees
Each line ends with the local moment (μB).
Fractional coordinates of all 6 atoms:
Tc 0.500 0.500 0.500  -0.04
Tc 0.250 0.250 0.250  -0.04
Tb 0.875 0.375 0.375  0.16
Tb 0.375 0.375 0.875  0.23
Tb 0.375 0.375 0.375  0.22
Tb 0.375 0.875 0.375  0.21

Output
space group = Fd-3m
volume = 383.4 Å³/cell
magnetic moment = 2.0 μB/cell

***

Here is how they stack up, most stable first: *w*, *x*.

***

*w*
# TbTc2W2

An optimized crystal structure of TbTc2W2 (PBE, OQMD via LeMat-Bulk).

Cell lengths 5.993, 5.993, 5.993 Å; angles 137.02, 137.02, 62.41 degrees
Fractional coordinates of all 5 atoms:
W 0.627 0.627 0.000
W 0.373 0.373 0.000
Tc 0.750 0.250 0.500
Tc 0.250 0.750 0.500
Tb 0.000 0.000 0.000

Output
space group = I4/mmm
volume = 98.9 Å³/cell
magnetic moment = 0.0 μB/cell

***

*x*
# TbTc2W2

An optimized crystal structure of TbTc2W2 (PBE, OQMD via LeMat-Bulk).

Cell lengths 6.118, 6.118, 6.118 Å; angles 138.73, 138.73, 59.78 degrees
Fractional coordinates of all 5 atoms:
Tc 0.378 0.378 0.000
Tc 0.622 0.622 0.000
W 0.250 0.750 0.500
W 0.750 0.250 0.500
Tb 0.000 0.000 0.000

Output
space group = I4/mmm
volume = 98.6 Å³/cell
magnetic moment = 0.0 μB/cell

***

Here is how they stack up, most stable first: *x*, *w*.

***

*w*
# TbTmTlTe3

An optimized crystal structure of TbTmTlTe3 (PBE, OQMD via LeMat-Bulk).

Cell lengths 7.970, 7.970, 11.984 Å; angles 90.00, 90.00, 148.26 degrees
Each line ends with the local moment (μB).
Fractional coordinates of all 12 atoms:
Te 0.940 0.060 0.250  0.00
Te 0.642 0.358 0.020  0.00
Te 0.358 0.642 0.520  0.00
Te 0.358 0.642 0.980  0.00
Te 0.060 0.940 0.750  0.00
Te 0.642 0.358 0.480  0.00
Tl 0.255 0.745 0.250  0.03
Tl 0.745 0.255 0.750  0.03
Tm 0.000 0.000 0.000  0.04
Tm 0.000 0.000 0.500  0.05
Tb 0.426 0.574 0.750  0.11
Tb 0.574 0.426 0.250  0.11

Output
space group = Cmcm
volume = 400.5 Å³/cell
magnetic moment = 0.8 μB/cell

***

*x*
# TbTmTlTe3

An optimized crystal structure of TbTmTlTe3 (PBE, OQMD via LeMat-Bulk).

Cell lengths 9.700, 9.700, 10.168 Å; angles 102.92, 102.92, 25.79 degrees
Fractional coordinates of all 12 atoms:
Tl 0.144 0.144 0.549
Tl 0.856 0.856 0.451
Te 0.667 0.667 0.855
Te 0.000 0.000 0.000
Te 0.500 0.500 0.500
Te 0.668 0.668 0.283
Te 0.333 0.333 0.145
Te 0.332 0.332 0.717
Tb 0.502 0.502 0.209
Tb 0.498 0.498 0.791
Tm 0.831 0.831 0.928
Tm 0.169 0.169 0.072

Output
space group = C2/m
volume = 405.2 Å³/cell
magnetic moment = 0.0 μB/cell

***

Here is how they stack up, most stable first: *x*, *w*.

***

*w*
# TbZrTlTe3

An optimized crystal structure of TbZrTlTe3 (PBE, OQMD via LeMat-Bulk).

Cell lengths 7.977, 7.977, 11.787 Å; angles 90.00, 90.00, 149.77 degrees
Fractional coordinates of all 12 atoms:
Tl 0.239 0.761 0.750
Tl 0.761 0.239 0.250
Te 0.646 0.354 0.530
Te 0.354 0.646 0.470
Te 0.937 0.063 0.750
Te 0.063 0.937 0.250
Te 0.354 0.646 0.030
Te 0.646 0.354 0.970
Zr 0.570 0.430 0.750
Zr 0.430 0.570 0.250
Tb 0.000 0.000 0.000
Tb 0.000 0.000 0.500

Output
space group = Cmcm
volume = 377.7 Å³/cell
magnetic moment = 0.0 μB/cell

***

*x*
# TbZrTlTe3

An optimized crystal structure of TbZrTlTe3 (PBE, OQMD via LeMat-Bulk).

Cell lengths 7.907, 7.907, 11.560 Å; angles 90.00, 90.00, 149.72 degrees
Fractional coordinates of all 12 atoms:
Te 0.859 0.141 0.987
Te 0.141 0.859 0.013
Te 0.859 0.141 0.513
Te 0.432 0.568 0.250
Te 0.141 0.859 0.487
Te 0.568 0.432 0.750
Tl 0.749 0.251 0.250
Tl 0.251 0.749 0.750
Tb 0.929 0.071 0.750
Tb 0.071 0.929 0.250
Zr 0.500 0.500 0.000
Zr 0.500 0.500 0.500

Output
space group = Cmcm
volume = 364.5 Å³/cell
magnetic moment = 0.0 μB/cell

***

Here is how they stack up, most stable first: *w*, *x*.

***

*w*
# TbTm

An optimized crystal structure of TbTm (PBE, OQMD via LeMat-Bulk).

Cell lengths 4.542, 4.542, 4.542 Å; angles 60.00, 60.00, 60.00 degrees
Each line ends with the local moment (μB).
Fractional coordinates of all 2 atoms:
Tb 0.000 0.000 0.000  0.36
Tm 0.500 0.500 0.500  0.38

Output
space group = Fm-3m
volume = 66.2 Å³/cell
magnetic moment = 0.9 μB/cell

***

*x*
# TbTm

An optimized crystal structure of TbTm (PBE, OQMD via LeMat-Bulk).

Cell lengths 3.582, 3.582, 5.570 Å; angles 90.00, 90.00, 120.00 degrees
Fractional coordinates of all 2 atoms:
Tb 0.667 0.333 0.750
Tm 0.333 0.667 0.250

Output
space group = P-6m2
volume = 61.9 Å³/cell
magnetic moment = 0.0 μB/cell

***

Here is how they stack up, most stable first: *x*, *w*.